Entry 1:
A plane-wave DFT calculation with PBEsol was carried out for LiPb2 after structural relaxation.

excess energy over the best structure of this formula in the dataset	4.8	kJ/mol of atoms
total magnetic moment	0.00	Bohr magnetons per cell

a = 5.2245 Å, b = 5.2245 Å, c = 6.4806 Å
α = 90.00°, β = 90.00°, γ = 120.00°
Atoms (fractional coordinates):
1 Pb 0.0000 0.0000 0.0000
2 Pb 0.3333 0.6667 0.2500
3 Pb 0.0000 0.0000 0.5000
4 Pb 0.6667 0.3333 0.7500
5 Li 0.3333 0.6667 0.7500
6 Li 0.6667 0.3333 0.2500

---

Entry 2:
A plane-wave DFT calculation with PBEsol was carried out for LiZrOs4 after structural relaxation.

raw total energy	-0.729	Ry/atom
total magnetic moment	0.00	Bohr magnetons per cell

a = 5.1474 Å, b = 5.1474 Å, c = 5.1474 Å
α = 60.00°, β = 60.00°, γ = 60.00°
Atoms (fractional coordinates):
1 Os 0.1242 0.6253 0.6253
2 Os 0.6253 0.6253 0.1242
3 Os 0.6253 0.6253 0.6253
4 Os 0.6253 0.1242 0.6253
5 Li 0.0000 0.0000 0.0000
6 Zr 0.2500 0.2500 0.2500

---

Entry 3:
A plane-wave DFT calculation with PBEsol was carried out for NaNb2CuBi after structural relaxation.

raw total energy	-0.310	Ry/atom
total magnetic moment	0.00	Bohr magnetons per cell

a = 4.6679 Å, b = 4.6679 Å, c = 5.0061 Å
α = 90.00°, β = 90.00°, γ = 90.00°
Atoms (fractional coordinates):
1 Nb 0.5000 0.0000 0.0000
2 Nb 0.0000 0.5000 0.0000
3 Na 0.0000 0.0000 0.0000
4 Cu 0.5000 0.5000 0.5000
5 Bi 0.0000 0.0000 0.5000